No. 1
Compound: MgH3Rh
Source: Alexandria
Functional: PBE-GGA
Structure: optimized geometry

Calculated values
uncorrected energy: -0.286 Ry/atom

abc: 6.383 6.383 6.383
angles: 60.00 60.00 60.00
Sites, in units of the cell vectors:
Mg 0.000 0.000 0.000
Mg 0.000 0.000 0.500
Mg 0.000 0.500 0.000
Mg 0.500 0.000 0.000
H 0.171 0.171 0.579
H 0.171 0.579 0.171
H 0.171 0.579 0.579
H 0.421 0.421 0.829
H 0.421 0.829 0.421
H 0.421 0.829 0.829
H 0.579 0.171 0.171
H 0.579 0.171 0.579
H 0.579 0.579 0.171
H 0.829 0.421 0.421
H 0.829 0.421 0.829
H 0.829 0.829 0.421
Rh 0.000 0.500 0.500
Rh 0.500 0.000 0.500
Rh 0.500 0.500 0.000
Rh 0.500 0.500 0.500

---

No. 2
Compound: Tb3Er
Source: Alexandria
Functional: PBE-GGA
Structure: optimized geometry

Calculated values
uncorrected energy: -0.338 Ry/atom
relative energy among the computed polymorphs: 0.04 eV per formula unit

abc: 5.007 5.007 5.007
angles: 90.00 90.00 90.00
Sites, in units of the cell vectors:
Tb 0.000 0.000 0.500
Tb 0.000 0.500 0.000
Tb 0.500 0.000 0.000
Er 0.500 0.500 0.500

---

No. 3
Compound: Li2ScW
Source: Alexandria
Functional: PBE-GGA
Structure: optimized geometry

Calculated values
uncorrected energy: -0.374 Ry/atom
relative energy among the computed polymorphs: 1.67 eV per formula unit

abc: 5.036 5.036 5.036
angles: 133.61 133.61 67.70
Sites, in units of the cell vectors:
Li 0.000 0.000 0.000
Li 0.750 0.250 0.500
Sc 0.250 0.750 0.500
W 0.500 0.500 0.000

---

No. 4
Compound: CdPd3Rh
Source: Alexandria
Functional: PBE-GGA
Structure: optimized geometry

Calculated values
uncorrected energy: -0.285 Ry/atom
relative energy among the computed polymorphs: 0.00 eV per formula unit

abc: 4.834 4.834 4.834
angles: 90.00 90.00 90.00
Sites, in units of the cell vectors:
Cd 0.000 0.000 0.000
Pd 0.000 0.500 0.500
Pd 0.500 0.000 0.500
Pd 0.500 0.500 0.000
Rh 0.500 0.500 0.500

---

No. 5
Compound: MoC
Source: Alexandria
Functional: PBE-GGA
Structure: optimized geometry

Calculated values
uncorrected energy: -0.707 Ry/atom
relative energy among the computed polymorphs: 0.99 eV per formula unit

abc: 4.104 4.104 3.821
angles: 90.00 90.00 139.70
Sites, in units of the cell vectors:
Mo 0.119 0.881 0.750
Mo 0.881 0.119 0.250
C 0.401 0.599 0.750
C 0.599 0.401 0.250

---

No. 6
Compound: LiBeSe2
Source: Alexandria
Functional: PBE-GGA
Structure: optimized geometry

Calculated values
energy relative to the elements, uncorrected: -0.383 eV/atom
uncorrected energy: -0.260 Ry/atom

abc: 3.861 3.861 7.073
angles: 90.00 90.00 128.23
Sites, in units of the cell vectors:
Li 0.000 0.000 0.000
Be 0.000 0.000 0.500
Se 0.500 0.500 0.283
Se 0.500 0.500 0.717

---

No. 7
Compound: AcNdZn
Source: Alexandria
Functional: PBE-GGA
Structure: optimized geometry

Calculated values
uncorrected energy: -0.261 Ry/atom
relative energy among the computed polymorphs: 0.00 eV per formula unit

abc: 6.994 6.994 6.994
angles: 148.05 148.05 45.81
Sites, in units of the cell vectors:
Ac 0.000 0.000 0.000
Nd 0.285 0.285 0.000
Zn 0.660 0.660 0.000

---

No. 8
Compound: LaHgMo2
Source: Alexandria
Functional: PBE-GGA
Structure: optimized geometry

Calculated values
uncorrected energy: -0.452 Ry/atom

abc: 4.992 4.992 4.992
angles: 122.75 122.75 85.31
Sites, in units of the cell vectors:
La 0.000 0.000 0.000
Hg 0.750 0.250 0.500
Mo 0.250 0.750 0.500
Mo 0.500 0.500 0.000